Below is a geometry-optimized Ba2ErMnS5 structure, with properties calculated at the GGA-PBE level.

Output
Density = 4.537 g/cm³
Formation energy without anion corrections = -1.6663 eV per atom

a = 9.2537 Å, b = 9.2537 Å, c = 12.9145 Å
α = 90.00°, β = 90.00°, γ = 154.21°
Positions (direct):
Ba  0.1249  0.8751  0.5000
Ba  0.1262  0.8738  0.1428
Ba  0.8738  0.1262  0.6428
Ba  0.8751  0.1249  0.0000
Er  0.2003  0.7997  0.8375
Er  0.7997  0.2003  0.3375
Mn  0.4400  0.5600  0.2363
Mn  0.5600  0.4400  0.7363
S  0.0422  0.9578  0.8132
S  0.3037  0.6963  0.4736
S  0.3144  0.6856  0.1905
S  0.3443  0.6557  0.8221
S  0.4981  0.5019  0.0844
S  0.5019  0.4981  0.5844
S  0.6557  0.3443  0.3221
S  0.6856  0.3144  0.6905
S  0.6963  0.3037  0.9736
S  0.9578  0.0422  0.3132